First-principles (PBE-GGA) data for Ba2VSbPd after structural relaxation, as listed in Alexandria.

Summary:
As for the density of states at the Fermi level: 0.553 states/eV/atom. For the uncorrected formation energy, the calculation gives 256 meV/atom.

Lattice parameters (Å, degrees): 6.583 6.583 5.074 90.00 90.00 90.00
Space group P4/mmm (No. 123)
Symmetry-distinct sites (fractional):
Ba (0.000, 0.500, 0.000) [2 per cell]
V (0.000, 0.000, 0.500) [1 per cell]
Sb (0.000, 0.000, 0.000) [1 per cell]
Pd (0.500, 0.500, 0.500) [1 per cell]